The following is a DFT calculation (PBE) of SrNd4Y3Te8 after structural relaxation.

```
SrNd4Y3Te8
1.0
-7.6151 -3.7739 -2.6458
3.7716 -2.0792 -7.8898
3.8772 -2.6317 7.5677
Te Sr Y Nd
8 1 3 4
Cartesian
1.0116 -6.9536 -0.3193
1.0210 -2.8371 1.1081
-0.9873 -5.6476 -4.0760
2.8403 -3.8196 -2.7268
-4.7038 -3.3776 -3.9431
-0.9779 -1.5311 -2.6486
4.7375 -5.1072 0.9752
-2.8066 -4.6651 -0.2411
1.8858 -1.0396 -3.9449
0.0168 -4.2424 -1.4839
3.8244 -2.3554 -0.1611
-1.9218 -2.9265 -5.2678
1.9386 -1.3159 3.7838
0.0000 0.0000 0.0000
-3.8076 -1.8869 -1.3229
-1.8690 -3.2028 2.4610
```

Values from the calculation:
Uncorrected formation energy: -22.43 eV per formula unit
DOS at the Fermi energy: 9.9 states/eV/cell
Space-group type: R-3m (166)